Entry from Alexandria: TbTa2ReC4 after structural relaxation (PBE).

Output
Electronic total energy (eV/atom): -9.956
Formation energy from the elements (eV per atom): -0.25

a b c (Å): 3.248 11.359 11.216
angles (deg): 90.00 90.00 90.00
Space group Cmcm (No. 63)
Inequivalent atoms, fractional coordinates:
Tb (0.000, 0.110, 0.250) (multiplicity 4)
Ta (0.000, 0.371, 0.035) (multiplicity 8)
Re (0.000, 0.155, 0.750) (multiplicity 4)
C (0.000, 0.000, 0.000) (multiplicity 4)
C (0.000, 0.263, 0.614) (multiplicity 8)
C (0.000, 0.446, 0.250) (multiplicity 4)